Compound: Cs2AgOsF6
Source: Alexandria via LeMat-Bulk
Functional: GGA-PBE
Structure: relaxed

abc: 6.4259 6.4259 6.4264
angles: 60.00 60.00 90.00
With the nearest neighbours (Å) after each atom.
Atoms (fractional coordinates):
Os: 0.0000 0.0000 0.0000  6 F 2.06
F: 0.2270 0.2270 0.5460  1 Os 2.06
F: 0.7729 0.2271 0.0000  1 Os 2.06
F: 0.2271 0.2271 0.0000  1 Os 2.06
F: 0.2271 0.7729 0.0000  1 Os 2.06
F: 0.7730 0.7730 0.4540  1 Os 2.06
F: 0.7729 0.7729 0.0000  1 Os 2.06
Cs: 0.7500 0.2500 0.5000  12 F 3.22
Cs: 0.2500 0.7500 0.5000  12 F 3.22
Ag: 0.5000 0.5000 0.0000  6 F 2.48

Uncorrected formation energy (eV/f.u.): -18.6

***

Compound: Nd2DyPt2
Source: Alexandria via LeMat-Bulk
Functional: GGA-PBE
Structure: relaxed

abc: 4.1161 7.8577 7.8577
angles: 90.00 90.00 90.00
With the nearest neighbours (Å) after each atom.
Atoms (fractional coordinates):
Nd: 0.5000 0.8364 0.3364  6 Pt 3.02-3.14
Nd: 0.5000 0.1636 0.6636  6 Pt 3.02-3.14
Nd: 0.5000 0.6636 0.8364  6 Pt 3.02-3.14
Nd: 0.5000 0.3364 0.1636  6 Pt 3.02-3.14
Pt: 0.0000 0.3621 0.8621  6 Nd 3.02-3.14, 2 Dy 3.04, 1 Pt 3.07
Pt: 0.0000 0.8621 0.6379  6 Nd 3.02-3.14, 2 Dy 3.04, 1 Pt 3.07
Pt: 0.0000 0.1379 0.3621  6 Nd 3.02-3.14, 2 Dy 3.04, 1 Pt 3.07
Pt: 0.0000 0.6379 0.1379  6 Nd 3.02-3.14, 2 Dy 3.04, 1 Pt 3.07
Dy: 0.0000 0.5000 0.5000  4 Pt 3.04
Dy: 0.0000 0.0000 0.0000  4 Pt 3.04

Formation enthalpy at 0 K (meV per atom): -967

***

Compound: ZnCrAs2
Source: Alexandria via LeMat-Bulk
Functional: GGA-PBE
Structure: relaxed

abc: 6.8773 6.8773 6.8773
angles: 155.53 148.79 40.06
With the nearest neighbours (Å) after each atom.
Atoms (fractional coordinates):
As: 0.9625 0.9625 0.0000  4 Cr 2.54, 2 Zn 2.76
As: 0.6971 0.1971 0.5000  2 Cr 2.54, 4 Zn 2.73
Cr: 0.5365 0.5365 0.0000  6 As 2.54
Zn: 0.3039 0.8039 0.5000  6 As 2.73-2.76, 2 Zn 2.92

Formation enthalpy at 0 K (meV per atom): 91

***

Compound: Hf2PtRh2
Source: Alexandria via LeMat-Bulk
Functional: GGA-PBE
Structure: relaxed

abc: 7.3310 7.3310 3.2410
angles: 90.00 90.00 90.00
With the nearest neighbours (Å) after each atom.
Atoms (fractional coordinates):
Rh: 0.8677 0.6323 0.0000  6 Hf 2.61-2.77, 1 Rh 2.74, 2 Pt 2.86
Rh: 0.6323 0.1323 0.0000  6 Hf 2.61-2.77, 1 Rh 2.74, 2 Pt 2.86
Rh: 0.3677 0.8677 0.0000  6 Hf 2.61-2.77, 1 Rh 2.74, 2 Pt 2.86
Rh: 0.1323 0.3677 0.0000  6 Hf 2.61-2.77, 1 Rh 2.74, 2 Pt 2.86
Hf: 0.1709 0.6709 0.5000  6 Rh 2.61-2.77
Hf: 0.8291 0.3291 0.5000  6 Rh 2.61-2.77
Hf: 0.3291 0.1709 0.5000  6 Rh 2.61-2.77
Hf: 0.6709 0.8291 0.5000  6 Rh 2.61-2.77
Pt: 0.0000 0.0000 0.0000  4 Rh 2.86, 8 Hf 3.16
Pt: 0.5000 0.5000 0.0000  4 Rh 2.86, 8 Hf 3.16

Formation enthalpy at 0 K (meV per atom): -843
Polymorph energy (0 for the lowest one) (eV/atom): 0.000

***

Compound: VAuS4
Source: Alexandria via LeMat-Bulk
Functional: GGA-PBE
Structure: relaxed

abc: 7.0636 7.0636 5.8814
angles: 78.34 78.34 104.87
With the nearest neighbours (Å) after each atom.
Atoms (fractional coordinates):
S: 0.2088 0.8821 0.4784  1 S 2.11
S: 0.1002 0.2938 0.4040  1 S 2.11
S: 0.2938 0.1002 0.9040  1 S 2.11
S: 0.7912 0.1179 0.5216  1 S 2.11
S: 0.7062 0.8998 0.0960  1 S 2.11
S: 0.1179 0.7912 0.0216  1 S 2.11
S: 0.8998 0.7062 0.5960  1 S 2.11
S: 0.8821 0.2088 0.9784  1 S 2.11
V: 0.9999 0.0001 0.7500  8 S 2.38-2.43
V: 0.0001 0.9999 0.2500  8 S 2.38-2.43
Au: 0.5016 0.4984 0.7500  2 S 2.68, 2 Au 2.94
Au: 0.4984 0.5016 0.2500  2 S 2.68, 2 Au 2.94

Uncorrected formation energy (eV/f.u.): -1.5

***

Compound: Mn2CrNCl
Source: Alexandria via LeMat-Bulk
Functional: GGA-PBE
Structure: relaxed

abc: 4.2391 3.9815 4.2391
angles: 90.00 90.00 90.00
With the nearest neighbours (Å) after each atom.
Atoms (fractional coordinates):
N: 0.0000 0.5000 0.0000  2 Cl 1.99
Cl: 0.0000 0.0000 0.0000  2 N 1.99, 4 Mn 2.12
Mn: 0.5000 0.0000 0.0000  2 Cl 2.12
Mn: 0.0000 0.0000 0.5000  2 Cl 2.12
Cr: 0.5000 0.5000 0.5000  8 Mn 2.91, 4 N 3.00

Uncorrected formation energy (eV/f.u.): 9.3

***

Compound: NiHPt
Source: Alexandria via LeMat-Bulk
Functional: GGA-PBE
Structure: relaxed

abc: 4.5757 4.3060 4.3059
angles: 66.62 57.87 57.87
With the nearest neighbours (Å) after each atom.
Atoms (fractional coordinates):
Ni: 0.4608 0.2679 0.4547  4 H 2.15
Ni: 0.9608 0.7679 0.9547  4 H 2.15
Pt: 0.2106 0.9816 0.2411  2 H 1.77
Pt: 0.7107 0.5540 0.6687  2 H 1.77
H: 0.4609 0.2676 0.9548  2 Pt 1.77
H: 0.9608 0.2677 0.9547  2 Pt 1.77

Polymorph energy (0 for the lowest one) (eV/atom): 0.079